Entry from the Open Quantum Materials Database: crystalline LiCdGa2 at its relaxed geometry (PBE).

```
LiCdGa2
1.0
0.0000 3.3026 3.3026
3.3026 0.0000 3.3026
3.3026 3.3026 0.0000
Cd Ga Li
1 2 1
Direct
0.5000 0.5000 0.5000
0.2500 0.2500 0.2500
0.0000 0.0000 0.0000
0.7500 0.7500 0.7500
```

## Properties
VASP energy = -2.319 eV/atom
SG = F-43m, No. 216